# GGA-PBE Ca2CdRh, optimized geometry
# - DOS at the Fermi energy (states/eV/cell) = 1.764
# - crystal system = monoclinic
# - E_form (eV per formula unit) = -1.286
data_Ca2CdRh
_chemical_formula_sum 'Ca2 Cd1 Rh1'
_symmetry_space_group_name_H-M 'P 1 m 1'
_symmetry_Int_Tables_number 6
_symmetry_space_group_name_Hall 'P -2y'
_cell_length_a 4.1544
_cell_length_b 4.5066
_cell_length_c 5.9109
_cell_angle_alpha 90.00
_cell_angle_beta 110.39
_cell_angle_gamma 90.00
loop_
_atom_site_label
_atom_site_type_symbol
_atom_site_fract_x
_atom_site_fract_y
_atom_site_fract_z
_atom_site_occupancy
Ca1 Ca 0.0000 0.0000 0.0000 1
Ca2 Ca 0.2837 0.5000 0.5703 1
Cd1 Cd 0.5744 0.5000 0.1495 1
Rh1 Rh 0.7139 0.0000 0.4302 1